This record from the Alexandria database describes a relaxed structure of MgSi2. The functional is PBE.

Cell lengths 3.686, 5.281, 12.158 Å; angles 89.15, 87.20, 71.83 degrees
Sites, in units of the cell vectors:
Mg1 0.369 0.043 0.852
Mg2 0.039 0.726 0.074
Mg3 0.476 0.807 0.299
Mg4 0.684 0.479 0.683
Si1 0.797 0.311 0.199
Si2 0.081 0.624 0.843
Si3 0.076 0.836 0.525
Si4 0.782 0.184 0.388
Si5 0.654 0.419 0.939
Si6 0.383 0.156 0.093
Si7 0.187 0.377 0.483
Si8 0.471 0.039 0.622

Summary:
size of the total moment	0.000	μB/f.u.
distance to the lowest polymorph of the same formula	97.6	meV per atom
uncorrected formation energy	0.12	eV per atom
SG	P1, No. 1